VASP calculation (PBE+U) on an optimized crystal structure of RbNiO2.

Its total magnetization is 3.0 μB per formula unit. Its total energy is -4.29 eV per atom.

It has space group I-42d (No. 122), with a = 5.845 Å, b = 5.845 Å, c = 7.744 Å, α = 90.00°, β = 90.00° and γ = 90.00°. Symmetry generates all atoms from Rb at (0.000, 0.000, 0.000), Ni at (0.000, 0.000, 0.500) and O at (0.113, 0.250, 0.625).